Entry 1:
# PBE YMn2Hg, optimized geometry
# Energy of formation from the pure elements ... 0.25 eV per atom
# Theoretical density ... 8.094 g/cm³
# Density of states at the Fermi level ... 23.38 states/eV/cell
data_YMn2Hg
_cell_length_a 6.895
_cell_length_b 6.895
_cell_length_c 6.895
_cell_angle_alpha 90.00
_cell_angle_beta 90.00
_cell_angle_gamma 90.00
_space_group_name_H-M_alt 'F -4 3 m'
_space_group_IT_number 216
_space_group_name_Hall 'F -4 2 3'
loop_
_atom_site_label
_atom_site_fract_x
_atom_site_fract_y
_atom_site_fract_z
_atom_site_occupancy
Y1 0.000 0.000 0.000 1
Mn1 0.000 0.000 0.500 1
Mn2 0.250 0.250 0.750 1
Hg1 0.250 0.250 0.250 1

=====

Entry 2:
# PBE TbPm2SmP4, optimized geometry
# Energy of formation from the pure elements ... -1.58 eV per atom
# Theoretical density ... 6.159 g/cm³
# Density of states at the Fermi level ... 0.68 states/eV/cell
data_TbPm2SmP4
_cell_length_a 7.100
_cell_length_b 4.102
_cell_length_c 7.100
_cell_angle_alpha 90.00
_cell_angle_beta 109.46
_cell_angle_gamma 90.00
_space_group_name_H-M_alt 'P 1 2/m 1'
_space_group_IT_number 10
loop_
_space_group_symop_operation_xyz
'x,y,z'
'-x,-y,-z'
'-x,y,-z'
'x,-y,z'
loop_
_atom_site_label
_atom_site_fract_x
_atom_site_fract_y
_atom_site_fract_z
_atom_site_occupancy
Tb1 0.000 0.000 0.000 1
Pm1 0.500 0.000 0.500 1
Pm2 0.500 0.500 0.000 1
Sm1 0.000 0.500 0.500 1
P1 0.245 0.500 0.246 1
P2 0.247 0.000 0.751 1